No. 1
Compound: Re2AgMo
Source: Alexandria via LeMat-Bulk
Functional: GGA-PBE
Structure: relaxed

abc: 4.843 4.843 4.843
angles: 131.63 131.63 70.81
Positions (direct):
Re  0.250  0.750  0.500
Re  0.000  0.000  0.000
Ag  0.500  0.500  0.000
Mo  0.750  0.250  0.500

- Excess energy over the best structure of this formula in the dataset: 216 meV/atom
- Formation enthalpy at 0 K: 48 kJ per mole of atoms

=====

No. 2
Compound: ReAgMo2
Source: Alexandria via LeMat-Bulk
Functional: GGA-PBE
Structure: relaxed

abc: 5.238 5.238 2.661
angles: 82.59 82.59 115.95
Positions (direct):
Mo  0.000  0.000  0.000
Mo  0.500  0.500  0.000
Re  0.500  0.000  0.500
Ag  0.000  0.500  0.500

- Excess energy over the best structure of this formula in the dataset: 121 meV/atom
- Formation enthalpy at 0 K: 41 kJ per mole of atoms

=====

No. 3
Compound: Re2AgMo
Source: Alexandria via LeMat-Bulk
Functional: GGA-PBE
Structure: relaxed

abc: 2.773 4.074 5.625
angles: 90.00 90.00 90.00
Positions (direct):
Ag  0.500  0.500  0.250
Mo  0.500  0.500  0.750
Re  0.000  0.000  0.525
Re  0.000  0.000  0.975

- Excess energy over the best structure of this formula in the dataset: 184 meV/atom
- Formation enthalpy at 0 K: 45 kJ per mole of atoms

=====

No. 4
Compound: ReAg2Mo
Source: Alexandria via LeMat-Bulk
Functional: GGA-PBE
Structure: relaxed

abc: 4.848 2.653 5.226
angles: 77.31 90.00 90.00
Positions (direct):
Re  0.500  0.750  0.750
Ag  0.000  0.979  0.998
Ag  0.000  0.521  0.502
Mo  0.500  0.250  0.250

- Excess energy over the best structure of this formula in the dataset: 282 meV/atom
- Formation enthalpy at 0 K: 58 kJ per mole of atoms

=====

No. 5
Compound: ReAgMo2
Source: Alexandria via LeMat-Bulk
Functional: GGA-PBE
Structure: relaxed

abc: 9.724 9.724 9.724
angles: 16.49 16.49 16.49
Positions (direct):
Mo  0.248  0.248  0.248
Mo  0.997  0.997  0.997
Ag  0.751  0.751  0.751
Re  0.504  0.504  0.504

- Excess energy over the best structure of this formula in the dataset: 121 meV/atom
- Formation enthalpy at 0 K: 41 kJ per mole of atoms

=====

No. 6
Compound: ReAgMo2
Source: Alexandria via LeMat-Bulk
Functional: GGA-PBE
Structure: relaxed

abc: 4.892 4.892 5.040
angles: 82.58 82.58 32.26
Positions (direct):
Mo  0.001  0.001  0.004
Mo  0.751  0.751  0.743
Re  0.499  0.499  0.507
Ag  0.249  0.249  0.247

- Excess energy over the best structure of this formula in the dataset: 178 meV/atom
- Formation enthalpy at 0 K: 46 kJ per mole of atoms

=====

> The highest excess energy over the best structure of this formula in the dataset belongs to which entry?

ReAg2Mo

=====

> Look up the formation enthalpy at 0 K of the fourth one.

58 kJ per mole of atoms